{
  "formula": "TmSb4",
  "functional": "PBE-GGA",
  "state": "relaxed",
  "lattice_angstrom": [[5.681, 0.000, 0.000], [0.000, 5.681, 0.000], [0.000, 0.000, 5.681]],
  "species": ["Sb", "Sb", "Sb", "Sb", "Tm"],
  "frac_coords": [[0.500, 0.500, 0.000], [0.500, 0.000, 0.500], [0.000, 0.500, 0.500], [0.000, 0.000, 0.000], [0.500, 0.500, 0.500]],
  "raw_formation_energy_ev_per_atom": 0.487,
  "space_group": "No. 221"
}